Here is ScPtSe2 after structural relaxation from Alexandria via LeMat-Bulk. Energies are from PBE-GGA.

The structure in POSCAR format:
```
ScPtSe2
1.0
-1.9305 2.1112 6.1934
1.9305 -2.1112 6.1934
1.9305 2.1112 -6.1934
Sc Pt Se
1 1 2
Direct
0.0000 0.0000 0.0000 Sc
0.5000 0.5000 0.0000 Pt
0.3609 0.8609 0.5000 Se
0.6391 0.1391 0.5000 Se
```

Computed properties:
E_form (uncorrected)	-0.906	eV/atom
M_tot	0.00	Bohr magnetons per cell
total energy	-5.742	eV/atom
space-group type	Immm (71)



Here is LaCd3Pd after structural relaxation from Alexandria via LeMat-Bulk. Energies are from PBE-GGA.

The structure in POSCAR format:
```
LaCd3Pd
1.0
5.1436 0.0000 0.0000
0.0000 5.1436 0.0000
0.0000 0.0000 5.1436
La Cd Pd
1 3 1
Direct
0.0000 0.0000 0.0000 La
0.0000 0.5000 0.5000 Cd
0.5000 0.0000 0.5000 Cd
0.5000 0.5000 0.0000 Cd
0.5000 0.5000 0.5000 Pd
```

Computed properties:
M_tot	0.00	Bohr magnetons per cell
total energy	-2.761	eV/atom
space-group type	Pm-3m (221)
formation energy	-91	kJ/mol of formula units



Here is AcNdPu4 after structural relaxation from Alexandria via LeMat-Bulk. Energies are from PBE-GGA.

The structure in POSCAR format:
```
AcNdPu4
1.0
0.0000 4.4835 4.4835
4.4835 0.0000 4.4835
4.4835 4.4835 0.0000
Ac Nd Pu
1 1 4
Direct
0.0000 0.0000 0.0000 Ac
0.2500 0.2500 0.2500 Nd
0.1258 0.6247 0.6247 Pu
0.6247 0.1258 0.6247 Pu
0.6247 0.6247 0.1258 Pu
0.6247 0.6247 0.6247 Pu
```

Computed properties:
M_tot	23.34	Bohr magnetons per cell
total energy	-10.776	eV/atom
space-group type	F-43m (216)
formation energy	149	kJ/mol of formula units



Here is La3Y2NpN6 after structural relaxation from Alexandria via LeMat-Bulk. Energies are from PBE-GGA.

The structure in POSCAR format:
```
La3Y2NpN6
1.0
3.0706 -5.3087 0.0000
3.0706 5.3087 0.0000
-2.0458 0.0000 5.9578
La Y Np N
3 2 1 6
Direct
0.0000 0.0000 0.0000 La
0.3308 0.6692 0.0000 La
0.6692 0.3308 0.0000 La
0.1663 0.8337 0.5000 Y
0.8337 0.1663 0.5000 Y
0.5000 0.5000 0.5000 Np
0.1220 0.4288 0.2867 N
0.2645 0.2645 0.7188 N
0.4288 0.1220 0.2867 N
0.5712 0.8780 0.7133 N
0.7355 0.7355 0.2812 N
0.8780 0.5712 0.7133 N
```

Computed properties:
E_form (uncorrected)	-1.426	eV/atom
M_tot	1.79	Bohr magnetons per cell
total energy	-8.976	eV/atom
space-group type	C2/m (12)